[1]
This record from OQMD via LeMat-Bulk describes a relaxed structure of Dy2Ho3Al3. The functional is PBE.

Calculated values
The calculated volume is 25.9 A^3/atom. The calculation puts the distance to the lowest polymorph of the same formula at 123 meV/atom.

a = 5.3698 Å, b = 6.3977 Å, c = 6.3977 Å
α = 70.32°, β = 90.00°, γ = 90.00°
Fractional positions:
Al1 0.5000 0.5989 0.2380
Al2 0.5000 0.2380 0.5989
Al3 0.0000 0.8515 0.8515
Dy1 0.0000 0.3226 0.3226
Dy2 0.5000 0.7131 0.7131
Ho1 0.5000 0.1207 0.1207
Ho2 0.0000 0.8146 0.3406
Ho3 0.0000 0.3406 0.8146

=====

[2]
This record from OQMD via LeMat-Bulk describes a relaxed structure of Ba3Zr2S7. The functional is PBE.

Calculated values
The calculated volume is 27.2 A^3/atom. The calculation puts the distance to the lowest polymorph of the same formula at 9 meV/atom.

a = 13.3636 Å, b = 7.1144 Å, c = 7.1141 Å
α = 90.00°, β = 90.00°, γ = 105.44°
Fractional positions:
Ba1 0.5000 0.0000 0.0000
Ba2 0.8618 0.1796 0.0000
Ba3 0.1382 0.8204 0.0000
Ba4 0.1382 0.3179 0.5000
Ba5 0.5000 0.5000 0.5000
Ba6 0.8618 0.6821 0.5000
S1 0.1029 0.2991 0.0000
S2 0.5000 0.5000 0.0000
S3 0.8971 0.7009 0.0000
S4 0.3083 0.1542 0.2500
S5 0.6930 0.3465 0.2500
S6 0.3070 0.6535 0.2500
S7 0.6917 0.8458 0.2500
S8 0.5000 0.0000 0.5000
S9 0.8971 0.1962 0.5000
S10 0.1029 0.8038 0.5000
S11 0.3083 0.1542 0.7500
S12 0.6930 0.3465 0.7500
S13 0.3070 0.6535 0.7500
S14 0.6917 0.8458 0.7500
Zr1 0.2992 0.3995 0.0000
Zr2 0.7008 0.6005 0.0000
Zr3 0.7008 0.1003 0.5000
Zr4 0.2992 0.8997 0.5000

=====

[3]
This record from OQMD via LeMat-Bulk describes a relaxed structure of DyBiPO. The functional is PBE.

Calculated values
The calculated volume is 21.1 A^3/atom. The calculation puts the distance to the lowest polymorph of the same formula at 21 meV/atom.

a = 4.2715 Å, b = 4.2715 Å, c = 9.2384 Å
α = 90.00°, β = 90.00°, γ = 90.00°
Fractional positions:
Bi1 0.0000 0.0000 0.5000
Bi2 0.5000 0.5000 0.5000
Dy1 0.5000 0.0000 0.0916
Dy2 0.0000 0.5000 0.9084
O1 0.0000 0.0000 0.0000
O2 0.5000 0.5000 0.0000
P1 0.0000 0.5000 0.2601
P2 0.5000 0.0000 0.7399

=====

[4]
This record from OQMD via LeMat-Bulk describes a relaxed structure of Li2ReH6Pd. The functional is PBE.

Calculated values
As for the total energy: -0.3005 Ry per atom. The calculated volume is 8.7 A^3/atom.

a = 4.9731 Å, b = 4.9731 Å, c = 4.9731 Å
α = 60.00°, β = 60.00°, γ = 60.00°
Last column: magnetic moment on the atom in μB.
Fractional positions:
H1 0.2488 0.7512 0.2488  0.00
H2 0.7512 0.2488 0.2488  0.00
H3 0.7512 0.7512 0.2488  0.00
H4 0.2488 0.7512 0.7512  0.00
H5 0.2488 0.2488 0.7512  0.00
H6 0.7512 0.2488 0.7512  0.00
Li1 0.2500 0.2500 0.2500  0.00
Li2 0.7500 0.7500 0.7500  0.00
Pd1 0.0000 0.0000 0.0000  0.04
Re1 0.5000 0.5000 0.5000  1.23

=====

The lowest calculated volume belongs to which entry? Li2ReH6Pd

=====

Look up the calculated volume of the first one. 25.9 A^3/atom

=====

Which of these has the lowest calculated volume? Li2ReH6Pd

=====

What is the formula in the first record? Dy2Ho3Al3